The following is a GGA-PBE calculation of a relaxed structure of IrSBr, from Alexandria.

Structure (CIF):
```
data_IrSBr
_chemical_formula_sum 'Ir2 S2 Br2'
_symmetry_space_group_name_H-M 'P 1'
_symmetry_Int_Tables_number 1
_symmetry_space_group_name_Hall 'P 1'
_cell_length_a 3.621
_cell_length_b 4.642
_cell_length_c 8.852
_cell_angle_alpha 90.00
_cell_angle_beta 90.00
_cell_angle_gamma 90.00
loop_
_atom_site_label
_atom_site_type_symbol
_atom_site_fract_x
_atom_site_fract_y
_atom_site_fract_z
_atom_site_occupancy
Ir1 Ir 0.250 0.250 0.116 1
Ir2 Ir 0.750 0.750 0.884 1
S1 S 0.250 0.750 0.053 1
S2 S 0.750 0.250 0.947 1
Br1 Br 0.250 0.750 0.678 1
Br2 Br 0.750 0.250 0.322 1
```

Summary:
Its space-group type is No. 59.

The following is a GGA-PBE calculation of a relaxed structure of IrS2Br, from Alexandria.

Structure (CIF):
```
data_IrS2Br
_chemical_formula_sum 'Ir4 S8 Br4'
_symmetry_space_group_name_H-M 'P 1'
_symmetry_Int_Tables_number 1
_symmetry_space_group_name_Hall 'P 1'
_cell_length_a 6.760
_cell_length_b 12.467
_cell_length_c 5.355
_cell_angle_alpha 90.00
_cell_angle_beta 98.49
_cell_angle_gamma 90.00
loop_
_atom_site_label
_atom_site_type_symbol
_atom_site_fract_x
_atom_site_fract_y
_atom_site_fract_z
_atom_site_occupancy
Ir1 Ir 0.000 0.011 0.250 1
Ir2 Ir 0.000 0.989 0.750 1
Ir3 Ir 0.500 0.489 0.750 1
Ir4 Ir 0.500 0.511 0.250 1
S1 S 0.173 0.111 0.553 1
S2 S 0.173 0.889 0.053 1
S3 S 0.327 0.389 0.447 1
S4 S 0.327 0.611 0.947 1
S5 S 0.673 0.389 0.053 1
S6 S 0.673 0.611 0.553 1
S7 S 0.827 0.111 0.947 1
S8 S 0.827 0.889 0.447 1
Br1 Br 0.000 0.309 0.750 1
Br2 Br 0.000 0.691 0.250 1
Br3 Br 0.500 0.191 0.250 1
Br4 Br 0.500 0.809 0.750 1
```

Summary:
Its space-group type is No. 15.

The following is a GGA-PBE calculation of a relaxed structure of IrS3Br, from Alexandria.

Structure (CIF):
```
data_IrS3Br
_chemical_formula_sum 'Ir1 S3 Br1'
_symmetry_space_group_name_H-M 'P 1'
_symmetry_Int_Tables_number 1
_symmetry_space_group_name_Hall 'P 1'
_cell_length_a 4.677
_cell_length_b 4.677
_cell_length_c 4.677
_cell_angle_alpha 90.00
_cell_angle_beta 90.00
_cell_angle_gamma 90.00
loop_
_atom_site_label
_atom_site_type_symbol
_atom_site_fract_x
_atom_site_fract_y
_atom_site_fract_z
_atom_site_occupancy
Ir1 Ir 0.000 0.000 0.000 1
S1 S 0.000 0.000 0.500 1
S2 S 0.000 0.500 0.000 1
S3 S 0.500 0.000 0.000 1
Br1 Br 0.500 0.500 0.500 1
```

Summary:
Its space-group type is No. 221.

The following is a GGA-PBE calculation of a relaxed structure of IrS2Br, from Alexandria.

Structure (CIF):
```
data_IrS2Br
_chemical_formula_sum 'Ir3 S6 Br3'
_symmetry_space_group_name_H-M 'P 1'
_symmetry_Int_Tables_number 1
_symmetry_space_group_name_Hall 'P 1'
_cell_length_a 3.787
_cell_length_b 3.787
_cell_length_c 25.210
_cell_angle_alpha 90.00
_cell_angle_beta 90.00
_cell_angle_gamma 120.00
loop_
_atom_site_label
_atom_site_type_symbol
_atom_site_fract_x
_atom_site_fract_y
_atom_site_fract_z
_atom_site_occupancy
Ir1 Ir 0.000 0.000 0.000 1
Ir2 Ir 0.333 0.667 0.667 1
Ir3 Ir 0.667 0.333 0.333 1
S1 S 0.000 0.000 0.365 1
S2 S 0.000 0.000 0.917 1
S3 S 0.333 0.667 0.031 1
S4 S 0.333 0.667 0.584 1
S5 S 0.667 0.333 0.250 1
S6 S 0.667 0.333 0.698 1
Br1 Br 0.000 0.000 0.512 1
Br2 Br 0.333 0.667 0.178 1
Br3 Br 0.667 0.333 0.845 1
```

Summary:
Its space-group type is No. 160.

The following is a GGA-PBE calculation of a relaxed structure of IrSBr2, from Alexandria.

Structure (CIF):
```
data_IrSBr2
_chemical_formula_sum 'Ir3 S3 Br6'
_symmetry_space_group_name_H-M 'P 1'
_symmetry_Int_Tables_number 1
_symmetry_space_group_name_Hall 'P 1'
_cell_length_a 3.891
_cell_length_b 3.891
_cell_length_c 22.630
_cell_angle_alpha 90.00
_cell_angle_beta 90.00
_cell_angle_gamma 120.00
loop_
_atom_site_label
_atom_site_type_symbol
_atom_site_fract_x
_atom_site_fract_y
_atom_site_fract_z
_atom_site_occupancy
Ir1 Ir 0.000 0.000 0.000 1
Ir2 Ir 0.333 0.667 0.667 1
Ir3 Ir 0.667 0.333 0.333 1
S1 S 0.000 0.000 0.500 1
S2 S 0.333 0.667 0.167 1
S3 S 0.667 0.333 0.833 1
Br1 Br 0.000 0.000 0.392 1
Br2 Br 0.000 0.000 0.608 1
Br3 Br 0.333 0.667 0.058 1
Br4 Br 0.333 0.667 0.275 1
Br5 Br 0.667 0.333 0.725 1
Br6 Br 0.667 0.333 0.942 1
```

Summary:
Its space-group type is No. 166.

The following is a GGA-PBE calculation of a relaxed structure of IrS2Br, from Alexandria.

Structure (CIF):
```
data_IrS2Br
_chemical_formula_sum 'Ir3 S6 Br3'
_symmetry_space_group_name_H-M 'P 1'
_symmetry_Int_Tables_number 1
_symmetry_space_group_name_Hall 'P 1'
_cell_length_a 3.677
_cell_length_b 3.677
_cell_length_c 21.473
_cell_angle_alpha 90.00
_cell_angle_beta 90.00
_cell_angle_gamma 120.00
loop_
_atom_site_label
_atom_site_type_symbol
_atom_site_fract_x
_atom_site_fract_y
_atom_site_fract_z
_atom_site_occupancy
Ir1 Ir 0.000 0.000 0.000 1
Ir2 Ir 0.333 0.667 0.667 1
Ir3 Ir 0.667 0.333 0.333 1
S1 S 0.000 0.000 0.385 1
S2 S 0.000 0.000 0.615 1
S3 S 0.333 0.667 0.051 1
S4 S 0.333 0.667 0.282 1
S5 S 0.667 0.333 0.718 1
S6 S 0.667 0.333 0.949 1
Br1 Br 0.000 0.000 0.500 1
Br2 Br 0.333 0.667 0.167 1
Br3 Br 0.667 0.333 0.833 1
```

Summary:
Its space-group type is No. 166.

The following is a GGA-PBE calculation of a relaxed structure of IrS2Br, from Alexandria.

Structure (CIF):
```
data_IrS2Br
_chemical_formula_sum 'Ir4 S8 Br4'
_symmetry_space_group_name_H-M 'P 1'
_symmetry_Int_Tables_number 1
_symmetry_space_group_name_Hall 'P 1'
_cell_length_a 16.524
_cell_length_b 3.592
_cell_length_c 7.492
_cell_angle_alpha 90.00
_cell_angle_beta 115.03
_cell_angle_gamma 90.00
loop_
_atom_site_label
_atom_site_type_symbol
_atom_site_fract_x
_atom_site_fract_y
_atom_site_fract_z
_atom_site_occupancy
Ir1 Ir 0.000 0.000 0.000 1
Ir2 Ir 0.002 0.500 0.535 1
Ir3 Ir 0.500 0.500 0.000 1
Ir4 Ir 0.502 0.000 0.535 1
S1 S 0.101 0.500 0.037 1
S2 S 0.136 0.500 0.809 1
S3 S 0.401 0.000 0.955 1
S4 S 0.446 0.500 0.650 1
S5 S 0.601 0.000 0.037 1
S6 S 0.636 0.000 0.809 1
S7 S 0.901 0.500 0.955 1
S8 S 0.946 0.000 0.650 1
Br1 Br 0.070 0.000 0.383 1
Br2 Br 0.356 0.000 0.213 1
Br3 Br 0.570 0.500 0.383 1
Br4 Br 0.856 0.500 0.213 1
```

Summary:
Its space-group type is No. 8.

The following is a GGA-PBE calculation of a relaxed structure of IrSBr2, from Alexandria.

Structure (CIF):
```
data_IrSBr2
_chemical_formula_sum 'Ir4 S4 Br8'
_symmetry_space_group_name_H-M 'P 1'
_symmetry_Int_Tables_number 1
_symmetry_space_group_name_Hall 'P 1'
_cell_length_a 6.693
_cell_length_b 6.693
_cell_length_c 6.693
_cell_angle_alpha 90.00
_cell_angle_beta 90.00
_cell_angle_gamma 90.00
loop_
_atom_site_label
_atom_site_type_symbol
_atom_site_fract_x
_atom_site_fract_y
_atom_site_fract_z
_atom_site_occupancy
Ir1 Ir 0.000 0.000 0.000 1
Ir2 Ir 0.000 0.500 0.500 1
Ir3 Ir 0.500 0.000 0.500 1
Ir4 Ir 0.500 0.500 0.000 1
S1 S 0.000 0.000 0.500 1
S2 S 0.000 0.500 0.000 1
S3 S 0.500 0.000 0.000 1
S4 S 0.500 0.500 0.500 1
Br1 Br 0.250 0.250 0.250 1
Br2 Br 0.250 0.250 0.750 1
Br3 Br 0.250 0.750 0.250 1
Br4 Br 0.250 0.750 0.750 1
Br5 Br 0.750 0.250 0.250 1
Br6 Br 0.750 0.250 0.750 1
Br7 Br 0.750 0.750 0.250 1
Br8 Br 0.750 0.750 0.750 1
```

Summary:
Its space-group type is No. 225.

The following is a GGA-PBE calculation of a relaxed structure of IrS2Br, from Alexandria.

Structure (CIF):
```
data_IrS2Br
_chemical_formula_sum 'Ir4 S8 Br4'
_symmetry_space_group_name_H-M 'P 1'
_symmetry_Int_Tables_number 1
_symmetry_space_group_name_Hall 'P 1'
_cell_length_a 4.530
_cell_length_b 15.832
_cell_length_c 5.844
_cell_angle_alpha 90.00
_cell_angle_beta 105.12
_cell_angle_gamma 90.00
loop_
_atom_site_label
_atom_site_type_symbol
_atom_site_fract_x
_atom_site_fract_y
_atom_site_fract_z
_atom_site_occupancy
Ir1 Ir 0.000 0.199 0.250 1
Ir2 Ir 0.000 0.801 0.750 1
Ir3 Ir 0.500 0.301 0.750 1
Ir4 Ir 0.500 0.699 0.250 1
S1 S 0.174 0.188 0.666 1
S2 S 0.174 0.812 0.166 1
S3 S 0.326 0.312 0.334 1
S4 S 0.326 0.688 0.834 1
S5 S 0.674 0.312 0.166 1
S6 S 0.674 0.688 0.666 1
S7 S 0.826 0.188 0.834 1
S8 S 0.826 0.812 0.334 1
Br1 Br 0.000 0.403 0.750 1
Br2 Br 0.000 0.597 0.250 1
Br3 Br 0.500 0.097 0.250 1
Br4 Br 0.500 0.903 0.750 1
```

Summary:
Its space-group type is No. 15.

The following is a GGA-PBE calculation of a relaxed structure of Ir2SBr2, from Alexandria.

Structure (CIF):
```
data_Ir2SBr2
_chemical_formula_sum 'Ir4 S2 Br4'
_symmetry_space_group_name_H-M 'P 1'
_symmetry_Int_Tables_number 1
_symmetry_space_group_name_Hall 'P 1'
_cell_length_a 9.893
_cell_length_b 9.893
_cell_length_c 2.808
_cell_angle_alpha 90.00
_cell_angle_beta 90.00
_cell_angle_gamma 90.00
loop_
_atom_site_label
_atom_site_type_symbol
_atom_site_fract_x
_atom_site_fract_y
_atom_site_fract_z
_atom_site_occupancy
Ir1 Ir 0.085 0.415 0.000 1
Ir2 Ir 0.415 0.915 0.000 1
Ir3 Ir 0.585 0.085 0.000 1
Ir4 Ir 0.915 0.585 0.000 1
S1 S 0.000 0.000 0.500 1
S2 S 0.500 0.500 0.500 1
Br1 Br 0.227 0.273 0.500 1
Br2 Br 0.273 0.773 0.500 1
Br3 Br 0.727 0.227 0.500 1
Br4 Br 0.773 0.727 0.500 1
```

Summary:
Its space-group type is No. 127.

The following is a GGA-PBE calculation of a relaxed structure of IrS2Br, from Alexandria.

Structure (CIF):
```
data_IrS2Br
_chemical_formula_sum 'Ir2 S4 Br2'
_symmetry_space_group_name_H-M 'P 1'
_symmetry_Int_Tables_number 1
_symmetry_space_group_name_Hall 'P 1'
_cell_length_a 3.629
_cell_length_b 6.180
_cell_length_c 8.064
_cell_angle_alpha 95.44
_cell_angle_beta 102.80
_cell_angle_gamma 93.89
loop_
_atom_site_label
_atom_site_type_symbol
_atom_site_fract_x
_atom_site_fract_y
_atom_site_fract_z
_atom_site_occupancy
Ir1 Ir 0.000 0.000 0.000 1
Ir2 Ir 0.329 0.228 0.615 1
S1 S 0.477 0.758 0.004 1
S2 S 0.557 0.247 0.059 1
S3 S 0.579 0.441 0.859 1
S4 S 0.854 0.017 0.704 1
Br1 Br 0.176 0.946 0.340 1
Br2 Br 0.797 0.455 0.490 1
```

Summary:
Its space-group type is No. 1.

The following is a GGA-PBE calculation of a relaxed structure of IrS2Br, from Alexandria.

Structure (CIF):
```
data_IrS2Br
_chemical_formula_sum 'Ir4 S8 Br4'
_symmetry_space_group_name_H-M 'P 1'
_symmetry_Int_Tables_number 1
_symmetry_space_group_name_Hall 'P 1'
_cell_length_a 9.426
_cell_length_b 5.144
_cell_length_c 13.143
_cell_angle_alpha 90.00
_cell_angle_beta 130.27
_cell_angle_gamma 90.00
loop_
_atom_site_label
_atom_site_type_symbol
_atom_site_fract_x
_atom_site_fract_y
_atom_site_fract_z
_atom_site_occupancy
Ir1 Ir 0.187 0.203 0.252 1
Ir2 Ir 0.187 0.297 0.752 1
Ir3 Ir 0.813 0.703 0.248 1
Ir4 Ir 0.813 0.797 0.748 1
S1 S 0.261 0.533 0.193 1
S2 S 0.261 0.967 0.693 1
S3 S 0.368 0.627 0.814 1
S4 S 0.368 0.873 0.314 1
S5 S 0.632 0.127 0.686 1
S6 S 0.632 0.373 0.186 1
S7 S 0.739 0.033 0.307 1
S8 S 0.739 0.467 0.807 1
Br1 Br 0.110 0.046 0.874 1
Br2 Br 0.110 0.454 0.374 1
Br3 Br 0.890 0.546 0.626 1
Br4 Br 0.890 0.954 0.126 1
```

Summary:
Its space-group type is No. 14.

The following is a GGA-PBE calculation of a relaxed structure of Ir2SBr, from Alexandria.

Structure (CIF):
```
data_Ir2SBr
_chemical_formula_sum 'Ir8 S4 Br4'
_symmetry_space_group_name_H-M 'P 1'
_symmetry_Int_Tables_number 1
_symmetry_space_group_name_Hall 'P 1'
_cell_length_a 6.314
_cell_length_b 6.314
_cell_length_c 6.314
_cell_angle_alpha 90.00
_cell_angle_beta 90.00
_cell_angle_gamma 90.00
loop_
_atom_site_label
_atom_site_type_symbol
_atom_site_fract_x
_atom_site_fract_y
_atom_site_fract_z
_atom_site_occupancy
Ir1 Ir 0.250 0.250 0.250 1
Ir2 Ir 0.250 0.250 0.750 1
Ir3 Ir 0.250 0.750 0.250 1
Ir4 Ir 0.250 0.750 0.750 1
Ir5 Ir 0.750 0.250 0.250 1
Ir6 Ir 0.750 0.250 0.750 1
Ir7 Ir 0.750 0.750 0.250 1
Ir8 Ir 0.750 0.750 0.750 1
S1 S 0.000 0.000 0.000 1
S2 S 0.000 0.500 0.500 1
S3 S 0.500 0.000 0.500 1
S4 S 0.500 0.500 0.000 1
Br1 Br 0.000 0.000 0.500 1
Br2 Br 0.000 0.500 0.000 1
Br3 Br 0.500 0.000 0.000 1
Br4 Br 0.500 0.500 0.500 1
```

Summary:
Its space-group type is No. 225.

Number 1: raw formation energy -322 meV per atom. Number 2: raw formation energy 53 meV per atom. Number 3: raw formation energy 612 meV per atom. Number 4: raw formation energy 212 meV per atom. Number 5: raw formation energy 716 meV per atom. Number 6: raw formation energy -245 meV per atom. Number 7: raw formation energy -218 meV per atom. Number 8: raw formation energy 1305 meV per atom. Number 9: raw formation energy -189 meV per atom. Number 10: raw formation energy 1209 meV per atom. Number 11: raw formation energy -222 meV per atom. Number 12: raw formation energy 113 meV per atom. Number 13: raw formation energy 1072 meV per atom.